[1]
VASP calculation (GGA-PBE) on crystalline Pm6Ge2IrBr3 at its relaxed geometry.

Cell and atoms, written as POSCAR:
```
Pm6Ge2IrBr3
1.0
9.522 -2.099 0.000
9.522 2.099 0.000
-2.317 0.000 8.658
Pm Ge Ir Br
6 2 1 3
Direct
0.006 0.006 0.216 Pm
0.325 0.325 0.435 Pm
0.348 0.348 0.897 Pm
0.652 0.652 0.103 Pm
0.675 0.675 0.565 Pm
0.994 0.994 0.784 Pm
0.166 0.166 0.338 Ge
0.834 0.834 0.662 Ge
0.500 0.500 0.000 Ir
0.174 0.174 0.835 Br
0.500 0.500 0.500 Br
0.826 0.826 0.165 Br
```

Space group: No. 12

=====

[2]
VASP calculation (GGA-PBE) on crystalline Pm8Ge3IrBr4 at its relaxed geometry.

Cell and atoms, written as POSCAR:
```
Pm8Ge3IrBr4
1.0
4.277 2.469 7.261
-4.277 2.469 7.261
0.000 -4.939 7.261
Pm Ge Ir Br
8 3 1 4
Direct
0.239 0.239 0.239 Pm
0.248 0.730 0.730 Pm
0.270 0.270 0.752 Pm
0.270 0.752 0.270 Pm
0.730 0.248 0.730 Pm
0.730 0.730 0.248 Pm
0.752 0.270 0.270 Pm
0.761 0.761 0.761 Pm
0.000 0.000 0.500 Ge
0.000 0.500 0.000 Ge
0.500 0.000 0.000 Ge
0.500 0.500 0.500 Ir
0.000 0.000 0.000 Br
0.000 0.500 0.500 Br
0.500 0.000 0.500 Br
0.500 0.500 0.000 Br
```

Space group: No. 166

=====

Taking the records one at a time from the top gives energy relative to the elements, uncorrected values of -1.1029; -1.1068 eV per atom.
Taking the records one at a time from the top gives mass density values of 6.943; 6.820 Mg/m³.